*P*
This record from Alexandria via LeMat-Bulk describes a relaxed TaCrS3 crystal. The functional is PBE.

Properties
Crystal system: cubic

Cell: 4.4703 4.4703 4.4703 Å, 90.00 90.00 90.00°
Closest atoms and distances in Å follow each position.
Sites, in units of the cell vectors:
Ta: 0.0000 0.0000 0.0000  12 S 3.16
Cr: 0.5000 0.5000 0.5000  6 S 2.24
S: 0.0000 0.5000 0.5000  2 Cr 2.24
S: 0.5000 0.0000 0.5000  2 Cr 2.24
S: 0.5000 0.5000 0.0000  2 Cr 2.24

=====

*Q*
This record from Alexandria via LeMat-Bulk describes a relaxed TaCrS3 crystal. The functional is PBE.

Properties
Crystal system: cubic

Cell: 4.7773 4.7773 4.7773 Å, 90.00 90.00 90.00°
Closest atoms and distances in Å follow each position.
Sites, in units of the cell vectors:
Ta: 0.0000 0.0000 0.0000  6 S 2.39
Cr: 0.5000 0.5000 0.5000  12 S 3.38
S: 0.0000 0.0000 0.5000  2 Ta 2.39
S: 0.0000 0.5000 0.0000  2 Ta 2.39
S: 0.5000 0.0000 0.0000  2 Ta 2.39

=====

*R*
This record from Alexandria via LeMat-Bulk describes a relaxed TaCrS3 crystal. The functional is PBE.

Properties
Crystal system: monoclinic

Cell: 6.0281 6.0281 6.9021 Å, 96.74 96.74 123.34°
Closest atoms and distances in Å follow each position.
Sites, in units of the cell vectors:
Ta: 0.1584 0.8416 0.0000  6 S 2.48-2.51
Ta: 0.8416 0.1584 0.0000  6 S 2.48-2.51
Cr: 0.3977 0.3977 0.8681  1 Cr 1.91
Cr: 0.6023 0.6023 0.1319  1 Cr 1.91
S: 0.0605 0.4376 0.7570  1 Cr 2.23, 1 Ta 2.48
S: 0.2469 0.2469 0.2343  1 Cr 2.31, 2 Ta 2.51
S: 0.4376 0.0605 0.7570  1 Cr 2.23, 1 Ta 2.48
S: 0.5624 0.9395 0.2430  1 Cr 2.23, 1 Ta 2.48
S: 0.7531 0.7531 0.7657  1 Cr 2.31, 2 Ta 2.51
S: 0.9395 0.5624 0.2430  1 Cr 2.23, 1 Ta 2.48

=====

On energetic grounds, *R* is preferred over the next structure by 0.550 eV/atom.

=====

*P*
This record from Alexandria via LeMat-Bulk describes a relaxed TaCr3S crystal. The functional is PBE.

Properties
Crystal system: cubic

Cell: 4.1445 4.1445 4.1445 Å, 90.00 90.00 90.00°
Closest atoms and distances in Å follow each position.
Sites, in units of the cell vectors:
Ta: 0.0000 0.0000 0.0000  12 Cr 2.93
Cr: 0.0000 0.5000 0.5000  2 S 2.07
Cr: 0.5000 0.0000 0.5000  2 S 2.07
Cr: 0.5000 0.5000 0.0000  2 S 2.07
S: 0.5000 0.5000 0.5000  6 Cr 2.07

=====

*Q*
This record from Alexandria via LeMat-Bulk describes a relaxed TaCr3S crystal. The functional is PBE.

Properties
Crystal system: cubic

Cell: 4.7646 4.7646 4.7646 Å, 90.00 90.00 90.00°
Closest atoms and distances in Å follow each position.
Sites, in units of the cell vectors:
Ta: 0.0000 0.0000 0.0000  6 Cr 2.38
Cr: 0.0000 0.0000 0.5000  2 Ta 2.38
Cr: 0.0000 0.5000 0.0000  2 Ta 2.38
Cr: 0.5000 0.0000 0.0000  2 Ta 2.38
S: 0.5000 0.5000 0.5000  12 Cr 3.37

=====

On energetic grounds, *P* is preferred over the next structure by 1.425 eV/atom.

=====

*P*
This record from Alexandria via LeMat-Bulk describes a relaxed Cr3TcS crystal. The functional is PBE.

Properties
Crystal system: cubic

Cell: 4.6774 4.6774 4.6774 Å, 90.00 90.00 90.00°
Closest atoms and distances in Å follow each position.
Sites, in units of the cell vectors:
Cr: 0.0000 0.0000 0.5000  2 Tc 2.34
Cr: 0.0000 0.5000 0.0000  2 Tc 2.34
Cr: 0.5000 0.0000 0.0000  2 Tc 2.34
Tc: 0.0000 0.0000 0.0000  6 Cr 2.34
S: 0.5000 0.5000 0.5000  12 Cr 3.31

=====

*Q*
This record from Alexandria via LeMat-Bulk describes a relaxed Cr3TcS crystal. The functional is PBE.

Properties
Crystal system: cubic

Cell: 4.0979 4.0979 4.0979 Å, 90.00 90.00 90.00°
Closest atoms and distances in Å follow each position.
Sites, in units of the cell vectors:
Cr: 0.0000 0.0000 0.5000  2 S 2.05
Cr: 0.0000 0.5000 0.0000  2 S 2.05
Cr: 0.5000 0.0000 0.0000  2 S 2.05
Tc: 0.5000 0.5000 0.5000  12 Cr 2.90
S: 0.0000 0.0000 0.0000  6 Cr 2.05

=====

On energetic grounds, *Q* is preferred over the next structure by 0.771 eV/atom.

=====

*P*
This record from Alexandria via LeMat-Bulk describes a relaxed CrTc2S2 crystal. The functional is PBE.

Properties
Crystal system: tetragonal

Cell: 5.3502 5.3502 5.3502 Å, 134.85 134.85 65.77°
Closest atoms and distances in Å follow each position.
Sites, in units of the cell vectors:
Cr: 0.0000 0.0000 0.0000  8 Tc 3.04, 10 S 3.14-3.30
Tc: 0.2500 0.7500 0.5000  4 S 2.31
Tc: 0.7500 0.2500 0.5000  4 S 2.31
S: 0.3676 0.3676 0.0000  4 Tc 2.31, 1 S 2.38
S: 0.6324 0.6324 0.0000  4 Tc 2.31, 1 S 2.38

=====

*Q*
This record from Alexandria via LeMat-Bulk describes a relaxed CrTc2S2 crystal. The functional is PBE.

Properties
Crystal system: tetragonal

Cell: 6.7113 6.7113 2.9439 Å, 90.00 90.00 90.00°
Closest atoms and distances in Å follow each position.
Sites, in units of the cell vectors:
Cr: 0.0000 0.0000 0.0000  4 S 2.53
Cr: 0.5000 0.5000 0.0000  4 S 2.53
Tc: 0.1512 0.3488 0.5000  6 S 2.33-2.55
Tc: 0.3488 0.8488 0.5000  6 S 2.33-2.55
Tc: 0.6512 0.1512 0.5000  6 S 2.33-2.55
Tc: 0.8488 0.6512 0.5000  6 S 2.33-2.55
S: 0.1590 0.6590 0.0000  6 Tc 2.33-2.55, 2 Cr 2.53
S: 0.3410 0.1590 0.0000  6 Tc 2.33-2.55, 2 Cr 2.53
S: 0.6590 0.8410 0.0000  6 Tc 2.33-2.55, 2 Cr 2.53
S: 0.8410 0.3410 0.0000  6 Tc 2.33-2.55, 2 Cr 2.53

=====

On energetic grounds, *Q* is preferred over the next structure by 0.182 eV/atom.

=====

*P*
This record from Alexandria via LeMat-Bulk describes a relaxed CrTc3S crystal. The functional is PBE.

Properties
Crystal system: cubic

Cell: 4.4410 4.4410 4.4410 Å, 90.00 90.00 90.00°
Closest atoms and distances in Å follow each position.
Sites, in units of the cell vectors:
Cr: 0.0000 0.0000 0.0000  6 Tc 2.22
Tc: 0.0000 0.0000 0.5000  2 Cr 2.22
Tc: 0.0000 0.5000 0.0000  2 Cr 2.22
Tc: 0.5000 0.0000 0.0000  2 Cr 2.22
S: 0.5000 0.5000 0.5000  12 Tc 3.14

=====

*Q*
This record from Alexandria via LeMat-Bulk describes a relaxed CrTc3S crystal. The functional is PBE.

Properties
Crystal system: cubic

Cell: 4.2894 4.2894 4.2894 Å, 90.00 90.00 90.00°
Closest atoms and distances in Å follow each position.
Sites, in units of the cell vectors:
Cr: 0.0000 0.0000 0.0000  12 Tc 3.03
Tc: 0.0000 0.5000 0.5000  2 S 2.14
Tc: 0.5000 0.0000 0.5000  2 S 2.14
Tc: 0.5000 0.5000 0.0000  2 S 2.14
S: 0.5000 0.5000 0.5000  6 Tc 2.14

=====

On energetic grounds, *Q* is preferred over the next structure by 0.764 eV/atom.

=====

*P*
This record from Alexandria via LeMat-Bulk describes a relaxed CrTcS2 crystal. The functional is PBE.

Properties
Crystal system: tetragonal

Cell: 6.5011 6.5011 6.5011 Å, 133.02 133.02 68.62°
Closest atoms and distances in Å follow each position.
Sites, in units of the cell vectors:
Cr: 0.0000 0.0000 0.0000  4 S 2.27
Cr: 0.7500 0.2500 0.5000  4 S 2.27
Tc: 0.2500 0.7500 0.5000  4 S 2.28
Tc: 0.5000 0.5000 0.0000  4 S 2.28
S: 0.1233 0.6250 0.9983  2 Cr 2.27, 2 Tc 2.28
S: 0.3750 0.3733 0.4983  2 Cr 2.27, 2 Tc 2.28
S: 0.6267 0.1250 0.0017  2 Cr 2.27, 2 Tc 2.28
S: 0.8750 0.8767 0.5017  2 Cr 2.27, 2 Tc 2.28

=====

*Q*
This record from Alexandria via LeMat-Bulk describes a relaxed CrTcS2 crystal. The functional is PBE.

Properties
Crystal system: trigonal

Cell: 7.7965 7.7965 7.7965 Å, 21.68 21.68 21.68°
Closest atoms and distances in Å follow each position.
Sites, in units of the cell vectors:
Cr: 0.0000 0.0000 0.0000  6 S 2.29
Tc: 0.5000 0.5000 0.5000  2 S 2.27
S: 0.4006 0.4006 0.4006  1 Tc 2.27, 3 Cr 2.29
S: 0.5994 0.5994 0.5994  1 Tc 2.27, 3 Cr 2.29

=====

On energetic grounds, *P* is preferred over the next structure by 0.048 eV/atom.